Record 1
This record from Alexandria via LeMat-Bulk describes a relaxed CrSbTe2As crystal. The functional is PBE.

Output
The value obtained for the total energy is -21.77 eV per formula unit. As for the uncorrected formation energy: 0.581 eV/atom. Its energy relative to the lowest polymorph listed for this composition is 0 kJ/mol of formula units.

Geometry as CIF:
```
data_CrSbTe2As
_space_group_name_H-M_alt 'P 4/m m m'
_space_group_IT_number 123
_space_group_name_Hall '-P 4 2'
_cell_length_a 4.979
_cell_length_b 4.979
_cell_length_c 5.109
_cell_angle_alpha 90.00
_cell_angle_beta 90.00
_cell_angle_gamma 90.00
loop_
_atom_site_label
_atom_site_fract_x
_atom_site_fract_y
_atom_site_fract_z
Cr1 0.000 0.000 0.000
Sb1 0.000 0.000 0.500
Te1 0.000 0.500 0.000
As1 0.500 0.500 0.500
```

***

Record 2
This record from Alexandria via LeMat-Bulk describes a relaxed KTh2Ag3Te6 crystal. The functional is PBE.

Output
The value obtained for the total energy is -51.81 eV per formula unit. As for the uncorrected formation energy: -0.705 eV/atom.

Geometry as CIF:
```
data_KTh2Ag3Te6
_space_group_name_H-M_alt 'C 1 2/m 1'
_space_group_IT_number 12
_space_group_name_Hall '-C 2y'
_cell_length_a 17.733
_cell_length_b 4.620
_cell_length_c 10.350
_cell_angle_alpha 90.00
_cell_angle_beta 96.34
_cell_angle_gamma 90.00
loop_
_atom_site_label
_atom_site_fract_x
_atom_site_fract_y
_atom_site_fract_z
K1 0.000 0.000 0.000
Th1 0.164 0.500 0.327
Ag1 0.000 0.000 0.500
Ag2 0.165 0.500 0.717
Te1 0.005 0.500 0.728
Te2 0.163 0.000 0.543
Te3 0.195 0.000 0.136
```

***

Record 3
This record from Alexandria via LeMat-Bulk describes a relaxed Pr3Ga4Au crystal. The functional is PBE.

Output
The value obtained for the total energy is -33.48 eV per formula unit. The calculation puts the calculated formation energy at -0.470 eV/atom.

Geometry as CIF:
```
data_Pr3Ga4Au
_space_group_name_H-M_alt 'I m m m'
_space_group_IT_number 71
_space_group_name_Hall '-I 2 2'
_cell_length_a 4.731
_cell_length_b 6.711
_cell_length_c 13.305
_cell_angle_alpha 90.00
_cell_angle_beta 90.00
_cell_angle_gamma 90.00
loop_
_atom_site_label
_atom_site_fract_x
_atom_site_fract_y
_atom_site_fract_z
Pr1 0.000 0.000 0.000
Pr2 0.000 0.500 0.181
Ga1 0.000 0.300 0.382
Au1 0.000 0.000 0.500
```

***

Record 4
This record from Alexandria via LeMat-Bulk describes a relaxed Ca2Pm2Ag15 crystal. The functional is PBE.

Output
The value obtained for the total energy is -58.15 eV per formula unit. The calculation puts the calculated formation energy at -0.099 eV/atom.

Geometry as CIF:
```
data_Ca2Pm2Ag15
_space_group_name_H-M_alt 'R -3 m'
_space_group_IT_number 166
_space_group_name_Hall '-R 3 2"'
_cell_length_a 9.7867
_cell_length_b 9.7867
_cell_length_c 14.7697
_cell_angle_alpha 90.00
_cell_angle_beta 90.00
_cell_angle_gamma 120.00
loop_
_atom_site_label
_atom_site_fract_x
_atom_site_fract_y
_atom_site_fract_z
Ca1 0.0000 0.0000 0.1442
Pm1 0.0000 0.0000 0.3948
Ag1 0.0000 0.3028 0.5000
Ag2 0.0000 0.5000 0.0000
Ag3 0.0103 0.5052 0.6483
```

***

Record 5
This record from Alexandria via LeMat-Bulk describes a relaxed Tm2MgZn6 crystal. The functional is PBE.

Output
The value obtained for the total energy is -20.65 eV per formula unit. The calculation puts the calculated formation energy at -0.274 eV/atom.

Geometry as CIF:
```
data_Tm2MgZn6
_space_group_name_H-M_alt 'P 6/m m m'
_space_group_IT_number 191
_space_group_name_Hall '-P 6 2'
_cell_length_a 7.7074
_cell_length_b 7.7074
_cell_length_c 3.3015
_cell_angle_alpha 90.00
_cell_angle_beta 90.00
_cell_angle_gamma 120.00
loop_
_atom_site_label
_atom_site_fract_x
_atom_site_fract_y
_atom_site_fract_z
Tm1 0.3333 0.6667 0.0000
Mg1 0.0000 0.0000 0.0000
Zn1 0.0000 0.3296 0.5000
```

***

Record 6
This record from Alexandria via LeMat-Bulk describes a relaxed Sc2FeHIr crystal. The functional is PBE.

Output
The value obtained for the total energy is -36.30 eV per formula unit.

Geometry as CIF:
```
data_Sc2FeHIr
_space_group_name_H-M_alt 'P 4/m m m'
_space_group_IT_number 123
_space_group_name_Hall '-P 4 2'
_cell_length_a 4.507
_cell_length_b 4.507
_cell_length_c 3.274
_cell_angle_alpha 90.00
_cell_angle_beta 90.00
_cell_angle_gamma 90.00
loop_
_atom_site_label
_atom_site_fract_x
_atom_site_fract_y
_atom_site_fract_z
Sc1 0.000 0.500 0.000
Fe1 0.000 0.000 0.500
H1 0.000 0.000 0.000
Ir1 0.500 0.500 0.500
```

***

Record 7
This record from Alexandria via LeMat-Bulk describes a relaxed Np3TaS6 crystal. The functional is PBE.

Output
The value obtained for the total energy is -87.82 eV per formula unit. As for the uncorrected formation energy: -1.238 eV/atom.

Geometry as CIF:
```
data_Np3TaS6
_space_group_name_H-M_alt 'R -3'
_space_group_IT_number 148
_space_group_name_Hall '-R 3'
_cell_length_a 11.6334
_cell_length_b 11.6334
_cell_length_c 11.2167
_cell_angle_alpha 90.00
_cell_angle_beta 90.00
_cell_angle_gamma 120.00
loop_
_atom_site_label
_atom_site_fract_x
_atom_site_fract_y
_atom_site_fract_z
Np1 0.0498 0.7697 0.1489
Ta1 0.0000 0.0000 0.0000
Ta2 0.0000 0.0000 0.5000
S1 0.0323 0.8270 0.8959
S2 0.0548 0.8571 0.3798
```

***

Record 8
This record from Alexandria via LeMat-Bulk describes a relaxed Tm5Tl4Cd crystal. The functional is PBE.

Output
The value obtained for the total energy is -35.72 eV per formula unit. The calculation puts the calculated formation energy at -0.298 eV/atom.

Geometry as CIF:
```
data_Tm5Tl4Cd
_space_group_name_H-M_alt 'P 4/m m m'
_space_group_IT_number 123
_space_group_name_Hall '-P 4 2'
_cell_length_a 3.705
_cell_length_b 3.705
_cell_length_c 19.104
_cell_angle_alpha 90.00
_cell_angle_beta 90.00
_cell_angle_gamma 90.00
loop_
_atom_site_label
_atom_site_fract_x
_atom_site_fract_y
_atom_site_fract_z
Tm1 0.000 0.000 0.000
Tm2 0.000 0.000 0.203
Tm3 0.000 0.000 0.405
Tl1 0.500 0.500 0.101
Tl2 0.500 0.500 0.305
Cd1 0.500 0.500 0.500
```

***

Record 9
This record from Alexandria via LeMat-Bulk describes a relaxed NdGa5Ir2Ru crystal. The functional is PBE.

Output
The value obtained for the total energy is -48.35 eV per formula unit. The calculation puts the calculated formation energy at -0.161 eV/atom.

Geometry as CIF:
```
data_NdGa5Ir2Ru
_space_group_name_H-M_alt 'P 4/m m m'
_space_group_IT_number 123
_space_group_name_Hall '-P 4 2'
_cell_length_a 4.800
_cell_length_b 4.800
_cell_length_c 7.606
_cell_angle_alpha 90.00
_cell_angle_beta 90.00
_cell_angle_gamma 90.00
loop_
_atom_site_label
_atom_site_fract_x
_atom_site_fract_y
_atom_site_fract_z
Nd1 0.000 0.000 0.000
Ga1 0.000 0.500 0.321
Ga2 0.500 0.500 0.000
Ir1 0.500 0.500 0.303
Ru1 0.000 0.000 0.500
```